Compound: SnHgSN2
Source: the Alexandria database
Functional: PBEsol
Structure: optimized geometry

The density is 6.7 g/cm3. For the electronic total energy, the calculation gives -18.4 eV for the cell shown. The value obtained for the total moment is 2.826 μB/cell. The value obtained for the raw formation energy is 1571 meV per atom.

The space group is P4/mmm (No. 123) and the conventional cell measures 4.228, 4.228 and 5.258 Å, with angles of 90.00, 90.00 and 90.00 degrees. Symmetry generates all atoms from Sn at (0.000, 0.000, 0.000), Hg at (0.500, 0.500, 0.500), S at (0.500, 0.500, 0.000) and N at (0.000, 0.500, 0.500).